YSbAs2Pb PBE-GGA relaxed; E_form (uncorrected) = 506 meV per atom; DOS(E_F) = 4.473 states/eV/f.u.; VASP energy = -21.062 eV/cell; size of the total moment = 0.000 μB/atom; V = 187 Å³/cell
1.0
-5.025 0.544 2.322
-0.567 -6.006 0.180
2.327 -0.068 5.052
Pb Sb As Y
1 1 2 1
Cartesian
-0.283 -3.003 0.090
-1.633 -2.765 3.777
1.163 -0.034 2.526
-2.513 0.272 1.161
0.000 0.000 0.000